Crystalline NaBWO5 at its relaxed geometry. Source: the Alexandria database, functional GGA+U.

For the electronic total energy, the calculation gives -7.094 eV/atom. The density of states at the Fermi level comes out at 0.000 states/eV per atom.

The structure belongs to space group C2/c (No. 15); the cell edges are 6.5607, 8.2523 and 7.2809 Å and the angles 90.00°, 116.72° and 90.00°. The inequivalent atoms are Na at (0.0000, 0.0902, 0.2500), B at (0.0000, 0.4331, 0.2500), W at (0.2500, 0.2500, 0.0000), O at (0.0000, 0.1722, 0.7500), O at (0.0457, 0.3234, 0.1087) and O at (0.2052, 0.4626, 0.8682).